# Pr2CdSb | Alexandria via LeMat-Bulk | PBE | relaxed
data_Pr2CdSb
_chemical_formula_sum 'Pr6 Cd3 Sb3'
_space_group_name_H-M_alt 'R -3 m'
_space_group_IT_number 166
_space_group_name_Hall '-R 3 2"'
_cell_length_a 4.2063
_cell_length_b 4.2063
_cell_length_c 31.5745
_cell_angle_alpha 90.00
_cell_angle_beta 90.00
_cell_angle_gamma 120.00
loop_
_atom_site_label
_atom_site_type_symbol
_atom_site_fract_x
_atom_site_fract_y
_atom_site_fract_z
Pr1 Pr 0.0000 0.0000 0.1058
Cd1 Cd 0.0000 0.0000 0.0000
Sb1 Sb 0.0000 0.0000 0.5000
# **Raw total energy**: -3.873 eV/atom
# **DOS(E_F)**: 1.265 states/eV/atom